Entry 1:
This record from Alexandria describes a geometry-optimized RbAlAs structure. The functional is PBE-GGA.

Calculated values
Crystal system   triclinic
ΔE_f   -0.397 eV per atom
Symmetry   P1, No. 1
E above lowest polymorph   0.102 eV/f.u.

Cell: 4.139 8.177 5.791 Å, 79.60 69.11 90.05°
Atoms (fractional coordinates):
As: 0.979 0.074 0.855
Rb: 0.680 0.951 0.453
Rb: 0.377 0.674 0.056
Al: 0.177 0.306 0.460
As: 0.629 0.468 0.557
Al: 0.425 0.238 0.964

---

Entry 2:
This record from Alexandria describes a geometry-optimized RbAlAs structure. The functional is PBE-GGA.

Calculated values
Crystal system   monoclinic
ΔE_f   -0.308 eV per atom
Symmetry   P2_1/c, No. 14
E above lowest polymorph   0.369 eV/f.u.

Cell: 6.459 7.245 8.058 Å, 90.00 112.33 90.00°
Atoms (fractional coordinates):
Rb: 0.303 0.124 0.603
Al: 0.227 0.590 0.436
Rb: 0.803 0.376 0.103
Al: 0.273 0.090 0.064
As: 0.080 0.866 0.211
As: 0.920 0.134 0.789
Al: 0.727 0.910 0.936
As: 0.420 0.366 0.289
As: 0.580 0.634 0.711
Rb: 0.697 0.876 0.397
Al: 0.773 0.410 0.564
Rb: 0.197 0.624 0.897

---

Entry 3:
This record from Alexandria describes a geometry-optimized Rb3AlAs structure. The functional is PBE-GGA.

Calculated values
Crystal system   cubic
ΔE_f   0.354 eV per atom
Symmetry   Pm-3m, No. 221
E above lowest polymorph   0.000 eV/f.u.

Cell: 6.709 6.709 6.709 Å, 90.00 90.00 90.00°
Last column: magnetic moment on the atom in μB.
Atoms (fractional coordinates):
Rb: 0.000 0.000 0.500  0.03
Rb: 0.000 0.500 0.000  0.02
Rb: 0.500 0.000 0.000  0.01
As: 0.000 0.000 0.000  0.26
Al: 0.500 0.500 0.500  0.12

---

Entry 4:
This record from Alexandria describes a geometry-optimized RbAlAs structure. The functional is PBE-GGA.

Calculated values
Crystal system   triclinic
ΔE_f   -0.368 eV per atom
Symmetry   P1, No. 1
E above lowest polymorph   0.191 eV/f.u.

Cell: 4.110 12.023 5.394 Å, 85.93 67.63 96.96°
Atoms (fractional coordinates):
Rb: 0.985 0.009 0.460
Al: 0.592 0.305 0.458
Al: 0.832 0.259 0.945
As: 0.344 0.146 0.840
As: 0.084 0.420 0.555
Rb: 0.872 0.573 0.086

---

Entry 5:
This record from Alexandria describes a geometry-optimized RbAl3As structure. The functional is PBE-GGA.

Calculated values
Crystal system   cubic
ΔE_f   1.792 eV per atom
Symmetry   Pm-3m, No. 221
E above lowest polymorph   6.354 eV/f.u.

Cell: 5.801 5.801 5.801 Å, 90.00 90.00 90.00°
Atoms (fractional coordinates):
As: 0.500 0.500 0.500
Rb: 0.000 0.000 0.000
Al: 0.000 0.000 0.500
Al: 0.500 0.000 0.000
Al: 0.000 0.500 0.000

---

Entry 6:
This record from Alexandria describes a geometry-optimized RbAl3As structure. The functional is PBE-GGA.

Calculated values
Crystal system   cubic
ΔE_f   0.522 eV per atom
Symmetry   Pm-3m, No. 221
E above lowest polymorph   0.000 eV/f.u.

Cell: 5.317 5.317 5.317 Å, 90.00 90.00 90.00°
Atoms (fractional coordinates):
Al: 0.000 0.500 0.000
As: 0.000 0.000 0.000
Rb: 0.500 0.500 0.500
Al: 0.500 0.000 0.000
Al: 0.000 0.000 0.500

---

Entry 7:
This record from Alexandria describes a geometry-optimized RbAlAs structure. The functional is PBE-GGA.

Calculated values
Crystal system   trigonal
ΔE_f   -0.240 eV per atom
Symmetry   P3m1, No. 156
E above lowest polymorph   0.574 eV/f.u.

Cell: 6.232 4.170 4.170 Å, 120.00 90.00 90.00°
Last column: magnetic moment on the atom in μB.
Atoms (fractional coordinates):
As: 0.233 0.333 0.667  0.08
Rb: 0.657 0.667 0.333  0.03
Al: 0.110 0.000 0.000  0.08

---

Entry 8:
This record from Alexandria describes a geometry-optimized RbAlAs structure. The functional is PBE-GGA.

Calculated values
Crystal system   triclinic
ΔE_f   -0.431 eV per atom
Symmetry   P-1, No. 2
E above lowest polymorph   0.000 eV/f.u.

Cell: 4.143 7.939 5.876 Å, 76.64 69.36 75.00°
Atoms (fractional coordinates):
Rb: 0.221 0.638 0.836
As: 0.571 0.080 0.689
As: 0.999 0.490 0.426
Rb: 0.349 0.932 0.279
Al: 0.641 0.325 0.305
Al: 0.928 0.246 0.810

---

Entry 9:
This record from Alexandria describes a geometry-optimized Rb2AlAs structure. The functional is PBE-GGA.

Calculated values
Crystal system   cubic
ΔE_f   0.263 eV per atom
Symmetry   Fm-3m, No. 225
E above lowest polymorph   0.000 eV/f.u.

Cell: 5.849 5.849 5.849 Å, 60.00 60.00 60.00°
Atoms (fractional coordinates):
Rb: 0.250 0.250 0.250
As: 0.500 0.500 0.500
Al: 0.000 0.000 0.000
Rb: 0.750 0.750 0.750

---

Entry 10:
This record from Alexandria describes a geometry-optimized Rb2AlAs structure. The functional is PBE-GGA.

Calculated values
Crystal system   tetragonal
ΔE_f   0.481 eV per atom
Symmetry   I-42d, No. 122
E above lowest polymorph   0.871 eV/f.u.

Cell: 4.900 4.900 12.448 Å, 78.65 78.65 90.00°
Atoms (fractional coordinates):
Rb: 0.119 0.625 0.250
Rb: 0.875 0.881 0.750
Al: 0.250 0.750 0.500
Al: 0.500 0.500 0.000
Rb: 0.375 0.369 0.750
Rb: 0.631 0.125 0.250
As: 0.000 0.000 0.000
As: 0.750 0.250 0.500

---

Entry 11:
This record from Alexandria describes a geometry-optimized Rb2Al2As3 structure. The functional is PBE-GGA.

Calculated values
Crystal system   monoclinic
ΔE_f   -0.413 eV per atom
Symmetry   C2/c, No. 15

Cell: 7.200 11.380 11.380 Å, 82.71 72.53 72.53°
Atoms (fractional coordinates):
Rb: 0.250 0.430 0.570
As: 0.238 0.465 0.868
As: 0.341 0.995 0.270
As: 0.259 0.396 0.262
Rb: 0.750 0.570 0.430
Al: 0.129 0.517 0.090
Rb: 0.371 0.188 0.010
As: 0.241 0.738 0.604
Rb: 0.871 0.010 0.188
Rb: 0.250 0.705 0.295
As: 0.659 0.005 0.730
Rb: 0.750 0.295 0.705
Rb: 0.129 0.990 0.812
Al: 0.862 0.794 0.654
Al: 0.362 0.654 0.794
Al: 0.629 0.090 0.517
Al: 0.638 0.346 0.206
As: 0.841 0.270 0.995
As: 0.759 0.262 0.396
As: 0.741 0.604 0.738
As: 0.262 0.132 0.535
Al: 0.138 0.206 0.346
As: 0.738 0.868 0.465
Al: 0.371 0.910 0.483
Al: 0.871 0.483 0.910
As: 0.159 0.730 0.005
Rb: 0.629 0.812 0.990
As: 0.762 0.535 0.132

---

Entry 12:
This record from Alexandria describes a geometry-optimized RbAlAs structure. The functional is PBE-GGA.

Calculated values
Crystal system   tetragonal
ΔE_f   -0.294 eV per atom
Symmetry   P4/nmm, No. 129
E above lowest polymorph   0.410 eV/f.u.

Cell: 4.811 4.811 7.771 Å, 90.00 90.00 90.00°
Atoms (fractional coordinates):
Al: 0.500 0.500 0.500
Rb: 0.000 0.500 0.845
Al: 0.000 0.000 0.500
As: 0.500 0.000 0.654
Rb: 0.500 0.000 0.155
As: 0.000 0.500 0.346

---

Entry 13:
This record from Alexandria describes a geometry-optimized RbAl2AsS6 structure. The functional is PBE-GGA.

Calculated values
Crystal system   monoclinic
Raw formation energy   -6.3 eV/f.u.
Symmetry   C2/c, No. 15

Cell: 7.464 9.476 9.476 Å, 90.14 72.46 72.46°
Atoms (fractional coordinates):
S: 0.579 0.670 0.765
S: 0.921 0.235 0.330
Al: 0.113 0.363 0.215
Rb: 0.250 0.912 0.088
Rb: 0.750 0.088 0.912
S: 0.804 0.967 0.279
S: 0.696 0.721 0.033
S: 0.196 0.033 0.721
S: 0.421 0.330 0.235
S: 0.304 0.279 0.967
S: 0.466 0.726 0.388
S: 0.966 0.388 0.726
S: 0.534 0.274 0.612
Al: 0.887 0.637 0.785
Al: 0.613 0.215 0.363
As: 0.250 0.249 0.751
As: 0.750 0.751 0.249
S: 0.079 0.765 0.670
S: 0.034 0.612 0.274
Al: 0.387 0.785 0.637

---

Number 1: final energy -3.517 eV/atom. Number 2: final energy -3.428 eV/atom. Number 3: final energy -1.905 eV/atom. Number 4: final energy -3.487 eV/atom. Number 5: final energy -1.576 eV/atom. Number 6: final energy -2.847 eV/atom. Number 7: final energy -3.360 eV/atom. Number 8: final energy -3.551 eV/atom. Number 9: final energy -2.318 eV/atom. Number 10: final energy -2.101 eV/atom. Number 11: final energy -3.751 eV/atom. Number 12: final energy -3.414 eV/atom. Number 13: final energy -4.421 eV/atom.